The following is a DFT calculation (PBE) of a geometry-optimized Ba4CuAg3 structure.

Its space group is Pmm2 (25). Its electronic total energy is -2.737 eV per atom. The energy of formation comes out at -150 kJ/mol of formula units.

Lattice parameters (Å, degrees): 4.7232 4.8696 12.6984 90.00 90.00 90.00
With the nearest neighbours (Å) after each atom.
Element x y z (fractional)
Ag: 0.0000 0.5000 0.5672  2 Ag 2.98
Ag: 0.0000 0.0000 0.4314  2 Ag 2.98
Ag: 0.5000 0.0000 0.9418  2 Cu 2.85
Ba: 0.5000 0.5000 0.3578  6 Ag 3.52-3.56, 1 Cu 3.80
Ba: 0.0000 0.5000 0.8665  2 Cu 3.40, 5 Ag 3.52-3.80
Ba: 0.0000 0.0000 0.1369  3 Ag 3.42-3.74, 4 Cu 3.53
Ba: 0.5000 0.0000 0.6396  7 Ag 3.51-3.84
Cu: 0.5000 0.5000 0.0588  2 Ag 2.85